The following is a DFT calculation (PBE-GGA) of a geometry-optimized AcTlCd11 structure.

Computed properties:
* calculated volume: 24.5 Å³ per atom
* E: -17.80 eV/cell
* formation energy: -0.10 eV/atom

Lattice parameters (Å, degrees): 6.161 7.837 7.843 80.93 66.87 66.35
Positions (direct):
Ac 0.000 0.000 0.000
Tl 0.500 0.500 0.000
Cd 0.275 0.210 0.215
Cd 0.725 0.790 0.785
Cd 0.510 0.790 0.215
Cd 0.490 0.210 0.785
Cd 0.345 0.648 0.639
Cd 0.655 0.352 0.361
Cd 0.016 0.352 0.639
Cd 0.984 0.648 0.361
Cd 0.000 0.500 0.000
Cd 0.500 0.000 0.500
Cd 0.000 0.000 0.500

---

The following is a DFT calculation (PBE-GGA) of a geometry-optimized CaTb3Te6 structure.

Computed properties:
* uncorrected formation energy: -126 kJ per mole of atoms
* calculated volume: 33.7 Å³ per atom
* E: -95.64 eV/cell

Lattice parameters (Å, degrees): 4.363 12.600 13.032 109.64 90.00 90.00
Positions (direct):
Ca 0.750 0.046 0.698
Ca 0.250 0.954 0.302
Tb 0.750 0.435 0.834
Tb 0.250 0.565 0.166
Tb 0.750 0.690 0.498
Tb 0.250 0.310 0.502
Tb 0.750 0.156 0.081
Tb 0.250 0.844 0.919
Te 0.750 0.481 0.616
Te 0.250 0.519 0.384
Te 0.750 0.916 0.095
Te 0.250 0.084 0.905
Te 0.750 0.390 0.056
Te 0.250 0.610 0.944
Te 0.750 0.741 0.273
Te 0.250 0.259 0.727
Te 0.750 0.114 0.463
Te 0.250 0.886 0.537
Te 0.750 0.797 0.747
Te 0.250 0.203 0.253

---

The following is a DFT calculation (PBE-GGA) of a geometry-optimized CaDy3Cd4 structure.

Computed properties:
* calculated volume: 26.6 Å³ per atom
* E: -44.30 eV/cell
* formation energy: -0.33 eV/atom

Lattice parameters (Å, degrees): 5.301 7.561 10.602 90.00 90.00 90.00
Positions (direct):
Ca 0.000 0.500 0.000
Ca 0.000 0.500 0.500
Cd 0.500 0.754 0.000
Cd 0.500 0.754 0.500
Cd 0.500 0.246 0.000
Cd 0.500 0.246 0.500
Cd 0.001 0.754 0.750
Cd 0.999 0.754 0.250
Cd 0.999 0.246 0.250
Cd 0.001 0.246 0.750
Dy 0.000 0.000 0.000
Dy 0.000 0.000 0.500
Dy 0.501 0.000 0.750
Dy 0.499 0.000 0.250
Dy 0.501 0.500 0.750
Dy 0.499 0.500 0.250

---

The following is a DFT calculation (PBE-GGA) of a geometry-optimized Pb2Se structure.

Computed properties:
* uncorrected formation energy: -1 kJ per mole of atoms
* calculated volume: 32.6 Å³ per atom
* E: -21.88 eV/cell

Lattice parameters (Å, degrees): 4.711 4.711 10.182 90.00 90.00 120.00
Positions (direct):
Pb 0.667 0.333 0.404
Pb 0.333 0.667 0.904
Pb 0.333 0.667 0.596
Pb 0.667 0.333 0.096
Se 0.000 0.000 0.250
Se 0.000 0.000 0.750

---

The following is a DFT calculation (PBE-GGA) of a geometry-optimized Zr2MnRu structure.

Computed properties:
* calculated volume: 18.3 Å³ per atom
* E: -35.76 eV/cell
* formation energy: -0.06 eV/atom

Lattice parameters (Å, degrees): 3.243 3.243 6.952 90.00 90.00 90.00
Positions (direct):
Mn 0.000 0.000 0.530
Ru 0.500 0.500 0.739
Zr 0.000 0.000 0.961
Zr 0.500 0.500 0.270

---

The following is a DFT calculation (PBE-GGA) of a geometry-optimized LaH9Ru2 structure.

Computed properties:
* calculated volume: 7.6 Å³ per atom
* E: -105.70 eV/cell

Lattice parameters (Å, degrees): 5.415 6.389 6.389 79.65 64.93 64.93
Positions (direct):
La 0.500 0.000 0.000
La 0.250 0.500 0.500
H 0.750 0.500 0.500
H 0.000 0.000 0.000
H 0.044 0.919 0.688
H 0.651 0.081 0.312
H 0.712 0.188 0.581
H 0.482 0.812 0.419
H 0.706 0.812 0.581
H 0.099 0.188 0.419
H 0.038 0.919 0.312
H 0.268 0.081 0.688
H 0.706 0.581 0.812
H 0.099 0.419 0.188
H 0.038 0.312 0.919
H 0.268 0.688 0.081
H 0.044 0.688 0.919
H 0.651 0.312 0.081
H 0.712 0.581 0.188
H 0.482 0.419 0.812
Ru 0.875 0.250 0.750
Ru 0.875 0.750 0.250
Ru 0.875 0.250 0.250
Ru 0.375 0.750 0.750

---

The following is a DFT calculation (PBE-GGA) of a geometry-optimized AlSe2Br structure.

Computed properties:
* uncorrected formation energy: 6 kJ per mole of atoms
* calculated volume: 24.8 Å³ per atom
* E: -12.14 eV/cell

Lattice parameters (Å, degrees): 3.883 3.883 6.570 90.00 90.00 90.00
Positions (direct):
Se 0.000 0.000 0.000
Se 0.500 0.500 0.000
Br 0.500 0.000 0.500
Al 0.000 0.500 0.500

---

The following is a DFT calculation (PBE-GGA) of a geometry-optimized AlNiC structure.

Computed properties:
* calculated volume: 12.7 Å³ per atom
* E: -18.38 eV/cell
* formation energy: 0.12 eV/atom

Lattice parameters (Å, degrees): 3.457 3.457 3.675 90.00 90.00 120.00
Positions (direct):
Ni 0.333 0.667 0.500
C 0.333 0.667 0.000
Al 0.667 0.333 0.000